Entry 1:
Y2CuRe: optimized geometry, GGA-PBE.

Properties
N(E_F) (states/eV/atom): 0.783
Formation energy from the elements (eV per atom): 0.385
ρ (g/cm3): 8.098

Cell lengths 3.3388, 4.4315, 5.9257 Å; angles 90.00, 90.00, 90.00 degrees
Closest atoms and distances in Å follow each position.
Space group Pmm2 (No. 25)
One atom of each set of equivalent atoms:
Y1 0.0000 0.0000 0.0000 [1 per cell]  1 Cu 2.75, 4 Re 2.89
Y2 0.5000 0.5000 0.3754 [1 per cell]  2 Re 2.90-3.02, 4 Cu 2.93
Cu1 0.0000 0.0000 0.5357 [1 per cell]  5 Y 2.75-2.93
Re1 0.5000 0.5000 0.8655 [1 per cell]  6 Y 2.89-3.02



Entry 2:
Y2CuRe: optimized geometry, GGA-PBE.

Properties
N(E_F) (states/eV/atom): 1.076
Formation energy from the elements (eV per atom): 0.445
ρ (g/cm3): 8.937

Cell lengths 6.8240, 6.8240, 6.8240 Å; angles 90.00, 90.00, 90.00 degrees
Closest atoms and distances in Å follow each position.
Space group F-43m (No. 216)
One atom of each set of equivalent atoms:
Y1 0.0000 0.0000 0.0000 [4 per cell]  4 Re 2.95, 4 Y 2.95
Y2 0.2500 0.2500 0.2500 [4 per cell]  4 Y 2.95, 4 Cu 2.95
Cu1 0.0000 0.0000 0.5000 [4 per cell]  4 Y 2.95, 4 Re 2.95
Re1 0.2500 0.2500 0.7500 [4 per cell]  4 Cu 2.95, 4 Y 2.95



Entry 3:
Y2CuRe: optimized geometry, GGA-PBE.

Properties
N(E_F) (states/eV/atom): 0.850
Formation energy from the elements (eV per atom): 0.366
ρ (g/cm3): 8.025

Cell lengths 3.4267, 3.4267, 26.0998 Å; angles 90.00, 90.00, 120.00 degrees
Closest atoms and distances in Å follow each position.
Space group R-3m (No. 166, hexagonal axes)
One atom of each set of equivalent atoms:
Y1 0.0000 0.0000 0.2468 [6 per cell]  3 Re 2.88, 3 Cu 3.00
Cu1 0.0000 0.0000 0.0000 [3 per cell]  6 Y 3.00
Re1 0.0000 0.0000 0.5000 [3 per cell]  6 Y 2.88



Entry 4:
Y2ZnCuRe: optimized geometry, GGA-PBE.

Properties
N(E_F) (states/eV/atom): 0.966
Formation energy from the elements (eV per atom): 0.594
ρ (g/cm3): 6.127

Cell lengths 5.3087, 5.3087, 4.7406 Å; angles 90.00, 90.00, 90.00 degrees
Closest atoms and distances in Å follow each position.
Space group P4/mmm (No. 123)
One atom of each set of equivalent atoms:
Y1 0.0000 0.5000 0.0000 [2 per cell]  2 Re 2.65
Zn1 0.0000 0.0000 0.5000 [1 per cell]  8 Y 3.56, 4 Cu 3.75
Cu1 0.5000 0.5000 0.5000 [1 per cell]  2 Re 2.37
Re1 0.5000 0.5000 0.0000 [1 per cell]  2 Cu 2.37, 4 Y 2.65



Entry 5:
YZrCuRe: optimized geometry, GGA-PBE.

Properties
N(E_F) (states/eV/atom): 0.729
Formation energy from the elements (eV per atom): -0.058
ρ (g/cm3): 9.324

Cell lengths 6.7405, 6.7405, 6.7405 Å; angles 90.00, 90.00, 90.00 degrees
Closest atoms and distances in Å follow each position.
Space group F-43m (No. 216)
One atom of each set of equivalent atoms:
Y1 0.0000 0.0000 0.0000 [4 per cell]  4 Cu 2.92, 4 Re 2.92
Zr1 0.0000 0.0000 0.5000 [4 per cell]  4 Re 2.92, 4 Cu 2.92
Cu1 0.2500 0.2500 0.2500 [4 per cell]  4 Zr 2.92, 4 Y 2.92
Re1 0.2500 0.2500 0.7500 [4 per cell]  4 Zr 2.92, 4 Y 2.92



Entry 6:
Zn2CuRe: optimized geometry, GGA-PBE.

Properties
N(E_F) (states/eV/atom): 0.254
Formation energy from the elements (eV per atom): 0.646
ρ (g/cm3): 10.724
Offset from the most stable computed form (meV/atom): 557

Cell lengths 6.7207, 6.7207, 5.2184 Å; angles 90.00, 90.00, 90.00 degrees
Closest atoms and distances in Å follow each position.
Space group I-42d (No. 122)
One atom of each set of equivalent atoms:
Zn1 0.2276 0.2500 0.1250 [8 per cell]  2 Cu 2.36, 2 Re 2.57, 2 Zn 2.63
Cu1 0.0000 0.0000 0.0000 [4 per cell]  4 Zn 2.36, 2 Re 2.61
Re1 0.0000 0.0000 0.5000 [4 per cell]  4 Zn 2.57, 2 Cu 2.61



Entry 7:
ZnCu2Re: optimized geometry, GGA-PBE.

Properties
N(E_F) (states/eV/atom): 0.687
Formation energy from the elements (eV per atom): 0.296
ρ (g/cm3): 11.689
Offset from the most stable computed form (meV/atom): 166

Cell lengths 2.6101, 4.5603, 9.0396 Å; angles 90.00, 90.00, 90.00 degrees
Closest atoms and distances in Å follow each position.
Space group Immm (No. 71)
One atom of each set of equivalent atoms:
Zn1 0.0000 0.0000 0.0000 [2 per cell]  4 Cu 2.56, 2 Zn 2.61, 4 Re 2.63
Cu1 0.0000 0.5000 0.2566 [4 per cell]  2 Zn 2.56, 6 Cu 2.61-2.63, 2 Re 2.66
Re1 0.0000 0.0000 0.5000 [2 per cell]  2 Re 2.61, 4 Zn 2.63, 4 Cu 2.66



Entry 8:
Zn2CuRe: optimized geometry, GGA-PBE.

Properties
N(E_F) (states/eV/atom): 0.473
Formation energy from the elements (eV per atom): 0.174
ρ (g/cm3): 11.314
Offset from the most stable computed form (meV/atom): 86

Cell lengths 2.6309, 2.6309, 8.0694 Å; angles 90.00, 90.00, 90.00 degrees
Closest atoms and distances in Å follow each position.
Space group P4mm (No. 99)
One atom of each set of equivalent atoms:
Zn1 0.0000 0.0000 0.0000 [1 per cell]  8 Zn 2.63-2.80, 4 Re 2.80
Zn2 0.5000 0.5000 0.2594 [1 per cell]  8 Zn 2.63-2.80, 4 Cu 2.66
Cu1 0.0000 0.0000 0.4943 [1 per cell]  4 Cu 2.63, 4 Zn 2.66, 4 Re 2.72
Re1 0.5000 0.5000 0.7404 [1 per cell]  4 Re 2.63, 4 Cu 2.72, 4 Zn 2.80